# NdHgSb2

A relaxed structure of NdHgSb2 (PBE, Alexandria).

Summary:
E above lowest polymorph: 311.1 meV per atom

a b c (Å): 4.5724 4.5724 9.3426
angles (deg): 75.84 75.84 60.00
Element x y z (fractional)
Sb: 0.1005 0.1005 0.6986
Sb: 0.8995 0.8995 0.3014
Nd: 0.5000 0.5000 0.5000
Hg: 0.0000 0.0000 0.0000